VASP calculation (PBE with a Hubbard U) on Ac2MoPtO8 after structural relaxation.

Cell and atoms, written as extended XYZ:
```
12
Lattice="5.194 0.000 0.000 1.503 5.985 0.000 2.253 0.999 5.944" Properties=species:S:1:pos:R:3 pbc="T T T"
Ac 1.276 1.235 0.868
Ac 7.674 5.749 5.076
Mo 4.475 3.492 2.972
Pt 3.723 0.500 2.972
O 3.872 3.634 4.777
O 3.583 5.273 2.633
O 2.927 2.361 2.557
O 4.929 6.562 5.011
O 4.021 0.422 0.933
O 6.024 4.623 3.387
O 5.367 1.711 3.311
O 5.078 3.350 1.167
```

## Properties
E: -7.1685 eV/atom
space-group type: P-1, No. 2
total magnetic moment: 0.0000 μB per atom